Record 1
The following is a PBE with a Hubbard U calculation of crystalline Rb2CrBO4 at its relaxed geometry, from Alexandria.

```
16
Lattice="0.000 5.740 10.554 2.404 0.000 10.554 2.404 5.740 0.000" Properties=species:S:1:pos:R:3 pbc="T T T"
Rb 1.803 4.305 1.043
Rb 3.005 7.175 6.320
Rb 1.803 4.305 14.788
Rb 3.005 7.175 20.066
Cr 0.601 1.435 2.639
Cr 4.207 10.046 18.470
B 1.803 4.305 7.916
B 3.005 7.175 13.193
O 2.730 3.456 7.088
O 2.730 5.154 8.743
O 3.932 6.326 14.021
O 3.932 8.025 12.365
O 0.876 3.456 8.743
O 0.876 5.154 7.088
O 2.078 6.326 12.365
O 2.078 8.025 14.021
```

Crystal system   orthorhombic
Volume   291 Å³/cell
Total energy   -6.327 eV/atom


Record 2
The following is a PBE with a Hubbard U calculation of crystalline RbCr2BO8 at its relaxed geometry, from Alexandria.

```
12
Lattice="2.429 1.402 8.550 -2.429 1.402 8.550 0.000 -2.804 8.550" Properties=species:S:1:pos:R:3 pbc="T T T"
Rb 0.000 0.000 0.000
Cr 0.000 0.000 5.801
Cr 0.000 0.000 19.850
B 0.000 0.000 12.825
O -0.874 -1.054 11.826
O -1.349 0.230 13.825
O 0.000 0.000 7.446
O 0.475 -1.284 13.825
O -0.475 1.284 11.826
O 0.000 0.000 18.205
O 1.349 -0.230 11.826
O 0.874 1.054 13.825
```

Crystal system   trigonal
Volume   175 Å³/cell
Total energy   -6.446 eV/atom


Record 3
The following is a PBE with a Hubbard U calculation of crystalline Rb2CrB2O6 at its relaxed geometry, from Alexandria.

```
11
Lattice="2.610 1.507 6.298 -2.610 1.507 6.298 0.000 -3.014 6.298" Properties=species:S:1:pos:R:3 pbc="T T T"
Rb 0.000 0.000 3.948
Rb 0.000 0.000 14.948
Cr 0.000 0.000 0.000
B 0.000 0.000 7.387
B 0.000 0.000 11.508
O 0.000 -1.381 7.462
O -1.196 0.691 7.462
O -1.196 -0.691 11.433
O 1.196 0.691 7.462
O 1.196 -0.691 11.433
O 0.000 1.381 11.433
```

Crystal system   trigonal
Volume   149 Å³/cell
Total energy   -6.796 eV/atom


Record 4
The following is a PBE with a Hubbard U calculation of crystalline CrBRhO4 at its relaxed geometry, from Alexandria.

```
14
Lattice="2.624 -3.948 0.000 2.624 3.948 0.000 0.000 0.000 6.353" Properties=species:S:1:pos:R:3 pbc="T T T"
Cr 0.000 0.000 0.000
Cr 0.000 0.000 3.177
B 2.624 1.191 4.765
B 2.624 -1.191 1.588
Rh 2.624 1.613 1.588
Rh 2.624 -1.613 4.765
O 1.370 0.262 4.765
O 2.624 1.993 3.578
O 2.624 1.993 5.951
O 1.370 -0.262 1.588
O 3.879 0.262 4.765
O 2.624 -1.993 0.402
O 2.624 -1.993 2.775
O 3.879 -0.262 1.588
```

Crystal system   orthorhombic
Volume   132 Å³/cell
Total energy   -7.319 eV/atom


Record 5
The following is a PBE with a Hubbard U calculation of crystalline CrSnBO5 at its relaxed geometry, from Alexandria.

```
16
Lattice="3.113 -4.007 0.000 3.113 4.007 0.000 -2.848 0.000 6.779" Properties=species:S:1:pos:R:3 pbc="T T T"
Cr 0.977 2.826 5.085
Cr 2.401 -2.826 1.695
Sn 3.113 0.000 0.000
Sn 1.689 0.000 3.390
B 2.401 2.532 1.695
B 0.977 -2.532 5.085
O -1.665 0.495 6.121
O 1.308 1.654 2.232
O -0.241 -0.495 2.732
O 0.977 0.917 5.085
O 3.494 1.654 1.158
O -0.116 -1.654 5.621
O 2.401 -0.917 1.695
O 3.619 0.495 4.048
O 2.070 -1.654 4.548
O 5.043 -0.495 0.658
```

Crystal system   monoclinic
Volume   169 Å³/cell
Total energy   -7.152 eV/atom


Record 6
The following is a PBE with a Hubbard U calculation of crystalline SrCr3B4O12 at its relaxed geometry, from Alexandria.

```
20
Lattice="4.827 2.787 2.572 -4.827 2.787 2.572 0.000 -5.574 2.572" Properties=species:S:1:pos:R:3 pbc="T T T"
Sr 0.000 0.000 0.000
Cr -2.679 -0.934 2.572
Cr 2.149 -1.853 2.572
Cr 0.530 2.787 2.572
B -2.134 -3.696 3.858
B 0.000 0.000 3.858
B -2.134 3.696 3.858
B 4.268 0.000 3.858
O -2.842 -2.546 3.641
O -3.985 0.000 3.858
O -0.784 -3.735 4.076
O -1.395 0.000 3.858
O -2.842 2.546 4.076
O 1.993 -3.451 3.858
O 0.697 -1.208 3.858
O -0.784 3.735 3.641
O 0.697 1.208 3.858
O 3.626 -1.188 3.641
O 1.993 3.451 3.858
O 3.626 1.188 4.076
```

Crystal system   trigonal
Volume   208 Å³/cell
Total energy   -7.788 eV/atom


Record 7
The following is a PBE with a Hubbard U calculation of crystalline SrCr2BO8 at its relaxed geometry, from Alexandria.

```
12
Lattice="2.372 1.369 7.359 -2.372 1.369 7.359 0.000 -2.738 7.359" Properties=species:S:1:pos:R:3 pbc="T T T"
Sr 0.000 0.000 0.000
Cr 0.000 0.000 5.171
Cr 0.000 0.000 16.905
B 0.000 0.000 11.038
O -1.370 -0.083 10.032
O -0.613 -1.228 12.045
O 0.000 0.000 6.868
O 0.757 -1.145 10.032
O -0.757 1.145 12.045
O 0.000 0.000 15.209
O 0.613 1.228 10.032
O 1.370 0.083 12.045
```

Crystal system   trigonal
Volume   143 Å³/cell
Total energy   -6.663 eV/atom


Record 8
The following is a PBE with a Hubbard U calculation of crystalline SrCrBO4 at its relaxed geometry, from Alexandria.

```
14
Lattice="4.791 0.000 0.000 0.000 5.341 0.000 -1.980 0.000 6.244" Properties=species:S:1:pos:R:3 pbc="T T T"
Sr 0.193 1.335 2.590
Sr 2.617 4.006 3.654
Cr -0.489 1.335 5.847
Cr 3.299 4.006 0.397
B 0.915 4.006 1.088
B 1.895 1.335 5.156
O -1.657 4.006 6.000
O -0.221 4.006 2.060
O 1.860 2.841 1.278
O 1.860 5.171 1.278
O 0.951 0.170 4.966
O 0.951 2.500 4.966
O 3.032 1.335 4.184
O 4.468 1.335 0.244
```

Crystal system   monoclinic
Volume   160 Å³/cell
Total energy   -7.412 eV/atom


Record 9
The following is a PBE with a Hubbard U calculation of crystalline TbCr3B4O12 at its relaxed geometry, from Alexandria.

```
20
Lattice="4.794 2.768 2.542 -4.794 2.768 2.542 0.000 -5.535 2.542" Properties=species:S:1:pos:R:3 pbc="T T T"
Tb 0.000 0.000 0.000
Cr -2.653 -0.939 2.542
Cr 2.140 -1.828 2.542
Cr 0.513 2.768 2.542
B -2.134 -3.696 3.812
B 0.000 0.000 3.812
B -2.134 3.696 3.812
B 4.268 0.000 3.812
O -2.887 -2.548 3.704
O -3.929 0.000 3.812
O -0.763 -3.774 3.921
O -1.384 0.000 3.812
O -2.887 2.548 3.921
O 1.965 -3.403 3.812
O 0.692 -1.199 3.812
O -0.763 3.774 3.704
O 0.692 1.199 3.812
O 3.650 -1.226 3.704
O 1.965 3.403 3.812
O 3.650 1.226 3.921
```

Crystal system   trigonal
Volume   202 Å³/cell
Total energy   -8.100 eV/atom


Record 10
The following is a PBE with a Hubbard U calculation of crystalline TiCr2BO at its relaxed geometry, from Alexandria.

```
5
Lattice="4.955 0.000 0.000 0.000 4.955 0.000 0.000 0.000 3.938" Properties=species:S:1:pos:R:3 pbc="T T T"
Ti 0.000 0.000 0.000
Cr 0.000 2.478 0.000
Cr 2.478 0.000 0.000
B 0.000 0.000 1.969
O 2.478 2.478 1.969
```

Crystal system   tetragonal
Volume   97 Å³/cell
Total energy   -5.158 eV/atom


Record 11
The following is a PBE with a Hubbard U calculation of crystalline Tl2CrBO4 at its relaxed geometry, from Alexandria.

```
16
Lattice="0.000 5.388 10.633 2.424 0.000 10.633 2.424 5.388 0.000" Properties=species:S:1:pos:R:3 pbc="T T T"
Tl 1.818 4.041 1.109
Tl 3.030 6.735 6.425
Tl 1.818 4.041 14.841
Tl 3.030 6.735 20.157
Cr 0.606 1.347 2.658
Cr 4.242 9.429 18.607
B 1.818 4.041 7.975
B 3.030 6.735 13.291
O 2.747 3.185 7.168
O 2.747 4.897 8.781
O 3.959 5.879 14.098
O 3.959 7.591 12.484
O 0.889 3.185 8.781
O 0.889 4.897 7.168
O 2.101 5.879 12.484
O 2.101 7.591 14.098
```

Crystal system   orthorhombic
Volume   278 Å³/cell
Total energy   -6.234 eV/atom


Record 12
The following is a PBE with a Hubbard U calculation of crystalline Tl2CrB2O6 at its relaxed geometry, from Alexandria.

```
11
Lattice="2.568 1.483 7.010 -2.568 1.483 7.010 0.000 -2.965 7.010" Properties=species:S:1:pos:R:3 pbc="T T T"
Tl 0.000 0.000 4.613
Tl 0.000 0.000 16.416
Cr 0.000 0.000 0.000
B 0.000 0.000 8.107
B 0.000 0.000 12.922
O 0.000 -1.376 8.184
O -1.192 0.688 8.184
O -1.192 -0.688 12.846
O 1.192 0.688 8.184
O 1.192 -0.688 12.846
O 0.000 1.376 12.846
```

Crystal system   trigonal
Volume   160 Å³/cell
Total energy   -6.740 eV/atom


Record 13
The following is a PBE with a Hubbard U calculation of crystalline TlCr2BO8 at its relaxed geometry, from Alexandria.

```
12
Lattice="2.411 1.392 8.516 -2.411 1.392 8.516 0.000 -2.784 8.516" Properties=species:S:1:pos:R:3 pbc="T T T"
Tl 0.000 0.000 0.000
Cr 0.000 0.000 5.791
Cr 0.000 0.000 19.758
B 0.000 0.000 12.775
O -0.855 -1.066 11.773
O -1.351 0.208 13.776
O 0.000 0.000 7.444
O 0.495 -1.274 13.776
O -0.495 1.274 11.773
O 0.000 0.000 18.105
O 1.351 -0.208 11.773
O 0.855 1.066 13.776
```

Crystal system   trigonal
Volume   172 Å³/cell
Total energy   -6.390 eV/atom


Record 14
The following is a PBE with a Hubbard U calculation of crystalline TmCrBO5 at its relaxed geometry, from Alexandria.

```
16
Lattice="3.102 -4.197 0.000 3.102 4.197 0.000 -2.590 0.000 6.156" Properties=species:S:1:pos:R:3 pbc="T T T"
Tm 1.159 2.864 4.617
Tm 2.454 -2.864 1.539
Cr 3.102 0.000 0.000
Cr 1.807 0.000 3.078
B 2.454 2.663 1.539
B 1.159 -2.663 4.617
O -1.289 0.571 5.610
O 1.466 1.856 2.300
O 0.005 -0.571 2.531
O 3.443 1.856 0.778
O 1.159 0.692 4.617
O 2.454 -0.692 1.539
O 0.171 -1.856 5.379
O 3.608 0.571 3.625
O 2.148 -1.856 3.856
O 4.903 -0.571 0.547
```

Crystal system   monoclinic
Volume   160 Å³/cell
Total energy   -7.918 eV/atom


Record 15
The following is a PBE with a Hubbard U calculation of crystalline CrB2WO at its relaxed geometry, from Alexandria.

```
5
Lattice="4.133 0.000 0.000 0.000 4.133 0.000 0.000 0.000 4.984" Properties=species:S:1:pos:R:3 pbc="T T T"
Cr 0.000 0.000 0.000
B 0.000 2.066 2.492
B 2.066 0.000 2.492
W 0.000 0.000 2.492
O 2.066 2.066 0.000
```

Crystal system   tetragonal
Volume   85 Å³/cell
Total energy   -4.209 eV/atom


Record 16
The following is a PBE with a Hubbard U calculation of crystalline YCrBO5 at its relaxed geometry, from Alexandria.

```
16
Lattice="3.126 -4.233 0.000 3.126 4.233 0.000 -2.599 0.000 6.200" Properties=species:S:1:pos:R:3 pbc="T T T"
Y 1.177 2.890 4.650
Y 2.476 -2.890 1.550
Cr 3.126 0.000 0.000
Cr 1.827 0.000 3.100
B 2.476 2.673 1.550
B 1.177 -2.673 4.650
O -1.275 0.598 5.638
O 1.500 1.865 2.325
O 0.025 -0.598 2.538
O 3.453 1.865 0.775
O 1.177 0.670 4.650
O 2.476 -0.670 1.550
O 0.200 -1.865 5.425
O 3.629 0.598 3.662
O 2.154 -1.865 3.875
O 4.928 -0.598 0.562
```

Crystal system   monoclinic
Volume   164 Å³/cell
Total energy   -8.137 eV/atom


Record 17
The following is a PBE with a Hubbard U calculation of crystalline ZnCrBO4 at its relaxed geometry, from Alexandria.

```
14
Lattice="2.627 -4.085 0.000 2.627 4.085 0.000 0.000 0.000 5.965" Properties=species:S:1:pos:R:3 pbc="T T T"
Zn 2.627 2.719 4.474
Zn 2.627 -2.719 1.491
Cr 2.627 0.000 0.000
Cr 2.627 0.000 2.983
B 2.627 2.779 1.491
B 2.627 -2.779 4.474
O 1.231 0.302 4.474
O 2.627 1.974 0.307
O 2.627 1.974 2.675
O 1.231 -0.302 1.491
O 4.024 0.302 4.474
O 2.627 -1.974 3.290
O 2.627 -1.974 5.658
O 4.024 -0.302 1.491
```

Crystal system   orthorhombic
Volume   128 Å³/cell
Total energy   -6.953 eV/atom